Run w
# LaDy3Hg2

A geometry-optimized LaDy3Hg2 structure (GGA-PBE, Alexandria).

Unit cell a=8.567 b=8.567 c=8.931 alpha=113.95 beta=113.95 gamma=36.59
Fractional coordinates of all 12 atoms:
La 0.132 0.132 0.187
La 0.868 0.868 0.813
Dy 0.065 0.065 0.723
Dy 0.306 0.306 0.999
Dy 0.382 0.382 0.474
Dy 0.618 0.618 0.526
Dy 0.694 0.694 0.001
Dy 0.935 0.935 0.277
Hg 0.224 0.224 0.607
Hg 0.493 0.493 0.833
Hg 0.507 0.507 0.167
Hg 0.776 0.776 0.393

---

Run x
# LaDy3Hg2

A geometry-optimized LaDy3Hg2 structure (GGA-PBE, Alexandria).

Unit cell a=5.135 b=9.409 c=7.224 alpha=90.00 beta=90.00 gamma=90.00
Fractional coordinates of all 12 atoms:
La 0.000 0.058 0.000
La 0.000 0.942 0.500
Dy 0.000 0.331 0.652
Dy 0.000 0.669 0.152
Dy 0.500 0.182 0.320
Dy 0.500 0.442 0.970
Dy 0.500 0.558 0.470
Dy 0.500 0.818 0.820
Hg 0.000 0.356 0.229
Hg 0.000 0.644 0.729
Hg 0.500 0.152 0.741
Hg 0.500 0.848 0.241

---

Which structure is most stable? run x, by 69 meV/atom over the runner-up.

---

Run w
# La2Dy2Hg

A geometry-optimized La2Dy2Hg structure (GGA-PBE, Alexandria).

Unit cell a=11.835 b=11.835 c=11.835 alpha=162.08 beta=162.08 gamma=25.45
Fractional coordinates of all 5 atoms:
La 0.192 0.192 0.000
La 0.808 0.808 0.000
Dy 0.418 0.418 0.000
Dy 0.582 0.582 0.000
Hg 0.000 0.000 0.000

---

Run x
# La2Dy2Hg

A geometry-optimized La2Dy2Hg structure (GGA-PBE, Alexandria).

Unit cell a=13.443 b=13.443 c=13.443 alpha=157.83 beta=157.83 gamma=31.56
Fractional coordinates of all 10 atoms:
La 0.051 0.301 0.750
La 0.301 0.051 0.250
La 0.699 0.949 0.750
La 0.949 0.699 0.250
Dy 0.201 0.451 0.750
Dy 0.451 0.201 0.250
Dy 0.549 0.799 0.750
Dy 0.799 0.549 0.250
Hg 0.375 0.625 0.750
Hg 0.625 0.375 0.250

---

Which structure is most stable? run w, by 156 meV/atom over the runner-up.

---

Run w
# La3DyHg

A geometry-optimized La3DyHg structure (GGA-PBE, Alexandria).

Unit cell a=11.602 b=11.602 c=8.345 alpha=105.00 beta=105.00 gamma=18.19
Fractional coordinates of all 10 atoms:
La 0.015 0.015 0.248
La 0.175 0.175 0.459
La 0.380 0.380 0.968
La 0.620 0.620 0.032
La 0.825 0.825 0.541
La 0.985 0.985 0.752
Dy 0.261 0.261 0.174
Dy 0.739 0.739 0.826
Hg 0.417 0.417 0.386
Hg 0.583 0.583 0.614

---

Run x
# La3DyHg

A geometry-optimized La3DyHg structure (GGA-PBE, Alexandria).

Unit cell a=3.885 b=10.865 c=8.262 alpha=90.00 beta=90.00 gamma=90.00
Fractional coordinates of all 10 atoms:
La 0.250 0.001 0.245
La 0.250 0.250 0.547
La 0.250 0.499 0.245
La 0.750 0.501 0.755
La 0.750 0.750 0.453
La 0.750 0.999 0.755
Dy 0.250 0.250 0.941
Dy 0.750 0.750 0.059
Hg 0.250 0.750 0.775
Hg 0.750 0.250 0.225

---

Which structure is most stable? run x, by 14 meV/atom over the runner-up.

---

Run w
# LaDyHg

A geometry-optimized LaDyHg structure (GGA-PBE, Alexandria).

Unit cell a=4.917 b=4.917 c=7.799 alpha=90.00 beta=90.00 gamma=90.00
Fractional coordinates of all 6 atoms:
La 0.250 0.250 0.133
La 0.750 0.750 0.867
Dy 0.250 0.750 0.500
Dy 0.750 0.250 0.500
Hg 0.250 0.250 0.741
Hg 0.750 0.750 0.259

---

Run x
# LaDyHg

A geometry-optimized LaDyHg structure (GGA-PBE, Alexandria).

Unit cell a=5.200 b=5.200 c=3.967 alpha=90.00 beta=90.00 gamma=120.00
Fractional coordinates of all 3 atoms:
La 0.000 0.000 0.000
Dy 0.333 0.667 0.500
Hg 0.667 0.333 0.500

---

Run y
# LaDyHg

A geometry-optimized LaDyHg structure (GGA-PBE, Alexandria).

Unit cell a=7.460 b=3.788 c=12.649 alpha=90.00 beta=90.00 gamma=90.00
Fractional coordinates of all 12 atoms:
La 0.135 0.250 0.087
La 0.365 0.750 0.587
La 0.635 0.250 0.413
La 0.865 0.750 0.913
Dy 0.109 0.250 0.392
Dy 0.391 0.750 0.892
Dy 0.609 0.250 0.108
Dy 0.891 0.750 0.608
Hg 0.130 0.250 0.764
Hg 0.370 0.750 0.264
Hg 0.630 0.250 0.736
Hg 0.870 0.750 0.236

---

Which structure is most stable? run w, by 5 meV/atom over the runner-up.

---

Run w
# LaDy2Hg

A geometry-optimized LaDy2Hg structure (GGA-PBE, Alexandria).

Unit cell a=10.889 b=10.889 c=10.889 alpha=19.34 beta=19.34 gamma=19.34
Fractional coordinates of all 4 atoms:
La 0.000 0.000 0.000
Dy 0.241 0.241 0.241
Dy 0.759 0.759 0.759
Hg 0.500 0.500 0.500

---

Run x
# LaDy2Hg

A geometry-optimized LaDy2Hg structure (GGA-PBE, Alexandria).

Unit cell a=3.682 b=3.682 c=8.837 alpha=90.00 beta=90.00 gamma=90.00
Fractional coordinates of all 4 atoms:
La 0.000 0.000 0.000
Dy 0.500 0.500 0.286
Dy 0.500 0.500 0.714
Hg 0.000 0.000 0.500

---

Which structure is most stable? run x, by 56 meV/atom over the runner-up.

---

Run w
# LaDyMgHg

A geometry-optimized LaDyMgHg structure (GGA-PBE, Alexandria).

Unit cell a=5.432 b=5.432 c=5.432 alpha=60.00 beta=60.00 gamma=60.00
Fractional coordinates of all 4 atoms:
La 0.000 0.000 0.000
Dy 0.500 0.500 0.500
Mg 0.750 0.750 0.750
Hg 0.250 0.250 0.250

---

Run x
# LaDyMgHg

A geometry-optimized LaDyMgHg structure (GGA-PBE, Alexandria).

Unit cell a=3.810 b=3.810 c=7.801 alpha=90.00 beta=90.00 gamma=90.00
Fractional coordinates of all 4 atoms:
La 0.000 0.000 0.000
Dy 0.000 0.000 0.492
Mg 0.500 0.500 0.730
Hg 0.500 0.500 0.278

---

Which structure is most stable? run x, by 27 meV/atom over the runner-up.

---

Run w
# LaNdDyHg

A geometry-optimized LaNdDyHg structure (GGA-PBE, Alexandria).

Unit cell a=3.733 b=3.733 c=8.875 alpha=90.00 beta=90.00 gamma=90.00
Fractional coordinates of all 4 atoms:
La 0.000 0.000 0.000
Nd 0.500 0.500 0.711
Dy 0.500 0.500 0.279
Hg 0.000 0.000 0.479

---

Run x
# LaNdDyHg

A geometry-optimized LaNdDyHg structure (GGA-PBE, Alexandria).

Unit cell a=5.573 b=5.573 c=5.573 alpha=60.00 beta=60.00 gamma=60.00
Fractional coordinates of all 4 atoms:
La 0.000 0.000 0.000
Nd 0.500 0.500 0.500
Dy 0.750 0.750 0.750
Hg 0.250 0.250 0.250

---

Which structure is most stable? run w, by 145 meV/atom over the runner-up.

---

Run w
# LaPmDyHg

A geometry-optimized LaPmDyHg structure (GGA-PBE, Alexandria).

Unit cell a=3.721 b=3.721 c=8.870 alpha=90.00 beta=90.00 gamma=90.00
Fractional coordinates of all 4 atoms:
La 0.000 0.000 0.000
Pm 0.500 0.500 0.712
Dy 0.500 0.500 0.281
Hg 0.000 0.000 0.484

---

Run x
# LaPmDyHg

A geometry-optimized LaPmDyHg structure (GGA-PBE, Alexandria).

Unit cell a=5.543 b=5.543 c=5.543 alpha=60.00 beta=60.00 gamma=60.00
Fractional coordinates of all 4 atoms:
La 0.000 0.000 0.000
Pm 0.250 0.250 0.250
Dy 0.500 0.500 0.500
Hg 0.750 0.750 0.750

---

Which structure is most stable? run w, by 177 meV/atom over the runner-up.

---

Run w
# LaDyHgRu

A geometry-optimized LaDyHgRu structure (GGA-PBE, Alexandria).

Unit cell a=5.158 b=5.158 c=5.158 alpha=60.00 beta=60.00 gamma=60.00
Fractional coordinates of all 4 atoms:
La 0.000 0.000 0.000
Dy 0.500 0.500 0.500
Hg 0.750 0.750 0.750
Ru 0.250 0.250 0.250

---

Run x
# LaDyHgRu

A geometry-optimized LaDyHgRu structure (GGA-PBE, Alexandria).

Unit cell a=3.539 b=3.539 c=7.780 alpha=90.00 beta=90.00 gamma=90.00
Fractional coordinates of all 4 atoms:
La 0.000 0.000 0.000
Dy 0.000 0.000 0.561
Hg 0.500 0.500 0.304
Ru 0.500 0.500 0.766

---

Which structure is most stable? run x, by 113 meV/atom over the runner-up.

---

Run w
# LaDyYHg

A geometry-optimized LaDyYHg structure (GGA-PBE, Alexandria).

Unit cell a=5.520 b=5.520 c=5.520 alpha=60.00 beta=60.00 gamma=60.00
Fractional coordinates of all 4 atoms:
La 0.000 0.000 0.000
Dy 0.250 0.250 0.250
Y 0.500 0.500 0.500
Hg 0.750 0.750 0.750

---

Run x
# LaDyYHg

A geometry-optimized LaDyYHg structure (GGA-PBE, Alexandria).

Unit cell a=3.682 b=3.682 c=8.915 alpha=90.00 beta=90.00 gamma=90.00
Fractional coordinates of all 4 atoms:
La 0.000 0.000 0.000
Dy 0.500 0.500 0.285
Y 0.500 0.500 0.710
Hg 0.000 0.000 0.496

---

Which structure is most stable? run x, by 159 meV/atom over the runner-up.

---

Run w
# LaDyZnHg

A geometry-optimized LaDyZnHg structure (GGA-PBE, Alexandria).

Unit cell a=5.316 b=5.316 c=5.316 alpha=60.00 beta=60.00 gamma=60.00
Fractional coordinates of all 4 atoms:
La 0.000 0.000 0.000
Dy 0.500 0.500 0.500
Zn 0.250 0.250 0.250
Hg 0.750 0.750 0.750

---

Run x
# LaDyZnHg

A geometry-optimized LaDyZnHg structure (GGA-PBE, Alexandria).

Unit cell a=3.686 b=3.686 c=7.672 alpha=90.00 beta=90.00 gamma=90.00
Fractional coordinates of all 4 atoms:
La 0.000 0.000 0.000
Dy 0.000 0.000 0.467
Zn 0.500 0.500 0.256
Hg 0.500 0.500 0.707

---

Which structure is most stable? run x, by 38 meV/atom over the runner-up.

---

Run w
# LiDy4Hg2

A geometry-optimized LiDy4Hg2 structure (GGA-PBE, Alexandria).

Unit cell a=8.775 b=8.775 c=8.775 alpha=34.27 beta=34.27 gamma=34.27
Fractional coordinates of all 7 atoms:
Li 0.000 0.000 0.000
Dy 0.131 0.131 0.131
Dy 0.384 0.384 0.384
Dy 0.616 0.616 0.616
Dy 0.869 0.869 0.869
Hg 0.258 0.258 0.258
Hg 0.742 0.742 0.742

---

Run x
# LiDy4Hg2

A geometry-optimized LiDy4Hg2 structure (GGA-PBE, Alexandria).

Unit cell a=9.154 b=9.154 c=9.154 alpha=32.79 beta=32.79 gamma=32.79
Fractional coordinates of all 7 atoms:
Li 0.000 0.000 0.000
Dy 0.214 0.214 0.214
Dy 0.374 0.374 0.374
Dy 0.626 0.626 0.626
Dy 0.786 0.786 0.786
Hg 0.095 0.095 0.095
Hg 0.905 0.905 0.905

---

Which structure is most stable? run w, by 109 meV/atom over the runner-up.